DFT (GGA-PBE) results for a relaxed Th2Te3H crystal.

Unit cell a=4.1958 b=12.5773 c=12.1685 alpha=90.00 beta=90.00 gamma=90.00
Sites, in units of the cell vectors:
Th (0.2500, 0.6827, 0.4576)
Th (0.7500, 0.3173, 0.5424)
Th (0.7500, 0.1827, 0.0424)
Th (0.2500, 0.8173, 0.9576)
Th (0.2500, 0.0179, 0.2966)
Th (0.7500, 0.9821, 0.7034)
Th (0.7500, 0.5179, 0.2034)
Th (0.2500, 0.4821, 0.7966)
Te (0.2500, 0.3787, 0.0554)
Te (0.7500, 0.6213, 0.9446)
Te (0.7500, 0.8787, 0.4446)
Te (0.2500, 0.1213, 0.5554)
Te (0.2500, 0.7061, 0.2012)
Te (0.7500, 0.2939, 0.7988)
Te (0.7500, 0.2061, 0.2988)
Te (0.2500, 0.7939, 0.7012)
Te (0.2500, 0.4388, 0.3828)
Te (0.7500, 0.5612, 0.6172)
Te (0.7500, 0.9388, 0.1172)
Te (0.2500, 0.0612, 0.8828)
H (0.2500, 0.1248, 0.1289)
H (0.7500, 0.8752, 0.8711)
H (0.7500, 0.6248, 0.3711)
H (0.2500, 0.3752, 0.6289)

Properties
Magnetization in μB per formula unit: 0.000
Energy above the lowest structure with this stoichiometry in meV per atom: 0
D(E_F) in states/eV/atom: 0.474
E_tot in eV/atom: -5.709